11
Lattice="3.277 -6.455 0.000 3.277 6.455 0.000 -1.971 0.000 8.192" Properties=species:S:1:pos:R:3 comment="Cs2U2CuS6 | Alexandria via LeMat-Bulk | PBE | optimized geometry" raw_formation_energy_mev_per_atom=-1174 pbc="T T T"
Cs 3.277 4.564 0.000
Cs 3.277 -4.564 0.000
U 2.292 2.086 4.096
U 2.292 -2.086 4.096
Cu -0.986 0.000 4.096
S 0.215 2.532 5.618
S 0.944 0.000 2.922
S 0.215 -2.532 5.618
S 4.368 2.532 2.574
S 3.639 0.000 5.270
S 4.368 -2.532 2.574